# 1
Material: AcNdCu2
Method: DFT, GGA-PBE
State: relaxed

abc: 3.7052 3.7052 7.3302
angles: 90.00 90.00 90.00
Last column: nearest neighbours and their distance in Å.
Atoms (fractional coordinates):
Ac: 0.0000 0.0000 0.0000  8 Cu 3.32, 2 Nd 3.67, 4 Ac 3.71
Nd: 0.0000 0.0000 0.5000  8 Cu 3.09
Cu: 0.5000 0.5000 0.2776  4 Nd 3.09, 1 Cu 3.26, 4 Ac 3.32
Cu: 0.5000 0.5000 0.7224  4 Nd 3.09, 1 Cu 3.26, 4 Ac 3.32

ΔE to the lowest computed polymorph: 3.56 kJ/mol of atoms
D(E_F): 0.71 states/eV per atom
Raw total energy: -4.378 eV per atom
Calculated formation energy: -0.111 eV per atom
Total magnetization: 0.00 μB/f.u.
Space-group type: No. 123

---

# 2
Material: TbNdGdIn
Method: DFT, GGA-PBE
State: relaxed

abc: 5.5174 5.5174 5.5174
angles: 60.00 60.00 60.00
Last column: nearest neighbours and their distance in Å.
Atoms (fractional coordinates):
Tb: 0.0000 0.0000 0.0000  4 Gd 3.38, 4 In 3.38
Nd: 0.5000 0.5000 0.5000  4 Gd 3.38, 4 In 3.38
Gd: 0.7500 0.7500 0.7500  4 Tb 3.38, 4 Nd 3.38
In: 0.2500 0.2500 0.2500  4 Nd 3.38, 4 Tb 3.38

D(E_F): 1.58 states/eV per atom
Raw total energy: -6.718 eV per atom
Calculated formation energy: -0.164 eV per atom
Total magnetization: 8.29 μB/f.u.
Space-group type: No. 216